(1)
# LaTbGe | the Alexandria database | PBE-GGA | relaxed
data_LaTbGe
_cell_length_a 3.9706
_cell_length_b 3.9706
_cell_length_c 5.7851
_cell_angle_alpha 110.07
_cell_angle_beta 110.07
_cell_angle_gamma 90.00
_symmetry_space_group_name_H-M 'P 1'
_symmetry_Int_Tables_number 1
_symmetry_space_group_name_Hall 'P 1'
loop_
_atom_site_label
_atom_site_fract_x
_atom_site_fract_y
_atom_site_fract_z
Ge1 0.6303 0.6303 0.2606
Tb1 0.2553 0.2553 0.5105
La1 0.9644 0.9644 0.9288
# Calculated density in g/cm3: 7.7
# N(E_F) in states/eV/f.u.: 3.1
# Total magnetization in μB/atom: 0.0000
# Crystal system: tetragonal
# Total energy in eV per cell: -15.5


(2)
# La2TbGe2 | the Alexandria database | PBE-GGA | relaxed
data_La2TbGe2
_cell_length_a 4.5337
_cell_length_b 7.8251
_cell_length_c 7.8251
_cell_angle_alpha 90.00
_cell_angle_beta 90.00
_cell_angle_gamma 90.00
_symmetry_space_group_name_H-M 'P 1'
_symmetry_Int_Tables_number 1
_symmetry_space_group_name_Hall 'P 1'
loop_
_atom_site_label
_atom_site_fract_x
_atom_site_fract_y
_atom_site_fract_z
La1 0.5000 0.1751 0.6751
La2 0.5000 0.6751 0.8249
La3 0.5000 0.8249 0.3249
La4 0.5000 0.3249 0.1751
Tb1 0.0000 0.0000 0.0000
Tb2 0.0000 0.5000 0.5000
Ge1 0.0000 0.3789 0.8789
Ge2 0.0000 0.8789 0.6211
Ge3 0.0000 0.6211 0.1211
Ge4 0.0000 0.1211 0.3789
# Calculated density in g/cm3: 7.0
# N(E_F) in states/eV/f.u.: 4.8
# Total magnetization in μB/atom: 0.0008
# Crystal system: tetragonal
# Total energy in eV per cell: -55.3


(3)
# La5TbGe4 | the Alexandria database | PBE-GGA | relaxed
data_La5TbGe4
_cell_length_a 5.1944
_cell_length_b 7.1177
_cell_length_c 10.9344
_cell_angle_alpha 129.36
_cell_angle_beta 103.74
_cell_angle_gamma 90.00
_symmetry_space_group_name_H-M 'P 1'
_symmetry_Int_Tables_number 1
_symmetry_space_group_name_Hall 'P 1'
loop_
_atom_site_label
_atom_site_fract_x
_atom_site_fract_y
_atom_site_fract_z
La1 0.8334 0.6779 0.6668
La2 0.8367 0.1732 0.6733
La3 0.1633 0.8268 0.3267
La4 0.5000 0.5000 0.0000
La5 0.1666 0.3221 0.3332
Tb1 0.5000 0.0000 0.0000
Ge1 0.3257 0.9012 0.6514
Ge2 0.9915 0.7466 0.9830
Ge3 0.6743 0.0988 0.3486
Ge4 0.0085 0.2534 0.0170
# Calculated density in g/cm3: 6.4
# N(E_F) in states/eV/f.u.: 6.2
# Total magnetization in μB/atom: 0.0000
# Crystal system: monoclinic
# Total energy in eV per cell: -54.2


(4)
# LaTbGe2 | the Alexandria database | PBE-GGA | relaxed
data_LaTbGe2
_cell_length_a 4.0784
_cell_length_b 5.9730
_cell_length_c 8.2691
_cell_angle_alpha 90.00
_cell_angle_beta 90.00
_cell_angle_gamma 90.00
_symmetry_space_group_name_H-M 'P 1'
_symmetry_Int_Tables_number 1
_symmetry_space_group_name_Hall 'P 1'
loop_
_atom_site_label
_atom_site_fract_x
_atom_site_fract_y
_atom_site_fract_z
La1 0.0000 0.1317 0.6809
La2 0.0000 0.8683 0.1809
Tb1 0.5000 0.3697 0.3175
Tb2 0.5000 0.6303 0.8175
Ge1 0.0000 0.6061 0.5392
Ge2 0.0000 0.3939 0.0392
Ge3 0.5000 0.8806 0.4623
Ge4 0.5000 0.1194 0.9623
# Calculated density in g/cm3: 7.3
# N(E_F) in states/eV/f.u.: 2.9
# Total magnetization in μB/atom: 0.0000
# Crystal system: orthorhombic
# Total energy in eV per cell: -44.2


(5)
# LaTbZnGe | the Alexandria database | PBE-GGA | relaxed
data_LaTbZnGe
_cell_length_a 4.2939
_cell_length_b 4.1608
_cell_length_c 6.0956
_cell_angle_alpha 90.00
_cell_angle_beta 110.62
_cell_angle_gamma 90.00
_symmetry_space_group_name_H-M 'P 1'
_symmetry_Int_Tables_number 1
_symmetry_space_group_name_Hall 'P 1'
loop_
_atom_site_label
_atom_site_fract_x
_atom_site_fract_y
_atom_site_fract_z
La1 0.1468 0.0000 0.2937
Tb1 0.8628 0.5000 0.7257
Zn1 0.5665 0.5000 0.1330
Ge1 0.4238 0.0000 0.8476
# Calculated density in g/cm3: 7.1
# N(E_F) in states/eV/f.u.: 3.7
# Total magnetization in μB/atom: 0.0004
# Crystal system: orthorhombic
# Total energy in eV per cell: -17.8


(6)
# LaTbZnGe | the Alexandria database | PBE-GGA | relaxed
data_LaTbZnGe
_cell_length_a 5.1717
_cell_length_b 5.1717
_cell_length_c 5.1717
_cell_angle_alpha 60.00
_cell_angle_beta 60.00
_cell_angle_gamma 60.00
_symmetry_space_group_name_H-M 'P 1'
_symmetry_Int_Tables_number 1
_symmetry_space_group_name_Hall 'P 1'
loop_
_atom_site_label
_atom_site_fract_x
_atom_site_fract_y
_atom_site_fract_z
Ge1 0.2500 0.2500 0.2500
Tb1 0.0000 0.0000 0.0000
Zn1 0.7500 0.7500 0.7500
La1 0.5000 0.5000 0.5000
# Calculated density in g/cm3: 7.4
# N(E_F) in states/eV/f.u.: 2.4
# Total magnetization in μB/atom: 0.0000
# Crystal system: cubic
# Total energy in eV per cell: -17.6